# 1
A relaxed structure of PaBeBr, computed with PBE.

Uncorrected energy   -4.996 eV per atom
Formation energy without anion corrections   -0.09 eV/f.u.

Cell: 7.1868 4.3010 10.9620 Å, 90.00 105.92 90.00°
Last column: nearest neighbours and their distance in Å.
Space group C2/m (No. 12)
Inequivalent atoms, fractional coordinates:
1 Pa 0.1512 0.0000 0.3482 [4 per cell]  4 Be 2.52-2.79
2 Be 0.0457 0.5000 0.4295 [4 per cell]  1 Be 1.84
3 Br 0.2408 0.5000 0.1763 [4 per cell]  3 Pa 3.03-3.04

# 2
A relaxed structure of PmTlPb2Cl8, computed with PBE.

Uncorrected energy   -3.942 eV per atom
Formation energy without anion corrections   -18.00 eV/f.u.

Cell: 6.6434 8.9952 6.9187 Å, 90.00 90.72 90.00°
Last column: nearest neighbours and their distance in Å.
Space group P2/m (No. 10)
Inequivalent atoms, fractional coordinates:
1 Pm 0.0000 0.0000 0.0000 [1 per cell]  6 Cl 2.73-2.77
2 Tl 0.0000 0.5000 0.0000 [1 per cell]  6 Cl 3.15-3.18
3 Pb 0.5000 0.2526 0.5000 [2 per cell]  6 Cl 2.83-3.09
4 Cl 0.2330 0.2173 0.1632 [4 per cell]  1 Pm 2.73, 1 Pb 2.93
5 Cl 0.2509 0.0000 0.6837 [2 per cell]  1 Pm 2.77, 2 Pb 3.09
6 Cl 0.2785 0.5000 0.6356 [2 per cell]  2 Pb 2.83, 1 Tl 3.15

# 3
A relaxed structure of BaZrTl3, computed with PBE.

Distance to the lowest polymorph of the same formula   0.0000 eV per atom
Formation energy   -11 kJ/mol of formula units
Uncorrected energy   -3.536 eV per atom

Cell: 5.6782 5.6782 5.6782 Å, 90.00 90.00 90.00°
Last column: nearest neighbours and their distance in Å.
Space group Pm-3m (No. 221)
Inequivalent atoms, fractional coordinates:
1 Ba 0.0000 0.0000 0.0000 [1 per cell]  12 Tl 4.02
2 Zr 0.5000 0.5000 0.5000 [1 per cell]  6 Tl 2.84
3 Tl 0.0000 0.5000 0.5000 [3 per cell]  2 Zr 2.84

# 4
A relaxed structure of SrTl2CuBr5, computed with PBE.

Uncorrected energy   -3.241 eV per atom
Formation energy without anion corrections   -10.30 eV/f.u.

Cell: 4.4010 19.4637 14.2667 Å, 90.00 90.00 90.00°
Last column: nearest neighbours and their distance in Å.
Space group Cmc2_1 (No. 36)
Inequivalent atoms, fractional coordinates:
1 Sr 0.0000 0.1934 0.0000 [4 per cell]  6 Br 3.05-3.08
2 Tl 0.0000 0.1085 0.6535 [4 per cell]  5 Br 3.34-3.67
3 Tl 0.0000 0.1191 0.3125 [4 per cell]  6 Br 3.31-3.62
4 Cu 0.0000 0.4419 0.3926 [4 per cell]  4 Br 2.44-2.57
5 Br 0.0000 0.0364 0.9756 [4 per cell]  2 Cu 2.53
6 Br 0.0000 0.2970 0.6472 [4 per cell]  2 Sr 3.05
7 Br 0.0000 0.3136 0.3501 [4 per cell]  1 Cu 2.57
8 Br 0.0000 0.3499 0.9863 [4 per cell]  1 Sr 3.05, 4 Tl 3.35-3.37
9 Br 0.0000 0.4975 0.7426 [4 per cell]  1 Cu 2.44

# 5
A relaxed structure of SmYMg3, computed with PBE.

Distance to the lowest polymorph of the same formula   0.1217 eV per atom
Formation energy   34 kJ/mol of formula units
Uncorrected energy   -3.123 eV per atom

Cell: 6.3741 15.2816 5.8404 Å, 90.00 90.00 90.00°
Last column: nearest neighbours and their distance in Å.
Space group Cmcm (No. 63)
Inequivalent atoms, fractional coordinates:
1 Sm 0.0000 0.1022 0.2500 [4 per cell]  4 Mg 3.39, 2 Y 3.47
2 Y 0.0000 0.3077 0.7500 [4 per cell]  8 Mg 3.07-3.41
3 Mg 0.0000 0.5000 0.0000 [4 per cell]  6 Mg 2.92-3.00
4 Mg 0.2427 0.3617 0.2500 [8 per cell]  4 Mg 3.00-3.28, 1 Y 3.07

# 6
A relaxed structure of As2H7Br2, computed with PBE.

Uncorrected energy   -3.186 eV per atom

Cell: 8.0226 9.2905 4.4589 Å, 90.00 102.41 90.00°
Last column: nearest neighbours and their distance in Å.
Space group C2/m (No. 12)
Inequivalent atoms, fractional coordinates:
1 As 0.2139 0.0000 0.4637 [4 per cell]  3 H 1.51-1.55
2 H 0.0000 0.0000 0.5000 [2 per cell]  2 As 1.76
3 H 0.1984 0.3716 0.3447 [8 per cell]  1 As 1.55
4 H 0.1997 0.5000 0.8065 [4 per cell]  1 As 1.51
5 Br 0.0000 0.2296 0.0000 [4 per cell]  2 H 2.36

# 7
A relaxed structure of Tc3Pt2Rh3, computed with PBE.

Formation energy   13 kJ/mol of formula units
Uncorrected energy   -8.137 eV per atom

Cell: 2.7188 10.7406 8.2153 Å, 90.00 90.00 90.00°
Last column: nearest neighbours and their distance in Å.
Space group Amm2 (No. 38)
Inequivalent atoms, fractional coordinates:
1 Tc 0.0000 0.0000 0.0000 [2 per cell]  4 Tc 2.46-2.72, 4 Rh 2.75
2 Tc 0.0000 0.1279 0.7510 [4 per cell]  4 Tc 2.46-2.75, 2 Rh 2.62, 1 Pt 2.64
3 Pt 0.0000 0.1287 0.2908 [4 per cell]  2 Tc 2.64-2.76, 3 Pt 2.72-2.76, 6 Rh 2.77-2.84
4 Rh 0.5000 0.0000 0.5358 [2 per cell]  4 Tc 2.62, 2 Rh 2.72, 4 Pt 2.79
5 Rh 0.5000 0.2220 0.0232 [4 per cell]  3 Rh 2.72-2.99, 6 Tc 2.75-2.82, 4 Pt 2.77-2.84

# 8
A relaxed structure of La3NdNi2, computed with PBE.

Formation energy   -126 kJ/mol of formula units
Uncorrected energy   -5.402 eV per atom

Cell: 12.8258 7.1910 7.6822 Å, 90.00 107.32 90.00°
Last column: nearest neighbours and their distance in Å.
Space group C2/c (No. 15)
Inequivalent atoms, fractional coordinates:
1 La 0.0000 0.2410 0.2500 [4 per cell]  4 Ni 2.92
2 La 0.2240 0.4994 0.1122 [8 per cell]  2 Ni 2.79
3 Nd 0.0000 0.2439 0.7500 [4 per cell]  4 Ni 2.93
4 Ni 0.1107 0.0003 0.0551 [8 per cell]  1 Ni 2.71, 4 La 2.79-2.92, 2 Nd 2.93

# 9
A relaxed structure of TbY2Nb, computed with PBE.

Formation energy   214 kJ/mol of formula units
Uncorrected energy   -6.354 eV per atom

Cell: 3.3127 3.3127 34.9475 Å, 90.00 90.00 120.00°
Last column: nearest neighbours and their distance in Å.
Space group R-3m (No. 166, hexagonal axes)
Inequivalent atoms, fractional coordinates:
1 Tb 0.0000 0.0000 0.0000 [3 per cell]  6 Tb 3.31, 6 Y 3.49
2 Y 0.0000 0.0000 0.4170 [6 per cell]  1 Nb 2.90
3 Nb 0.0000 0.0000 0.5000 [3 per cell]  2 Y 2.90

# 10
A relaxed structure of BaNaMg2Tl4, computed with PBE.

Formation energy   -138 kJ/mol of formula units
Uncorrected energy   -2.166 eV per atom

Cell: 5.1777 5.1777 30.6915 Å, 90.00 90.00 120.00°
Last column: nearest neighbours and their distance in Å.
Space group R-3m (No. 166, hexagonal axes)
Inequivalent atoms, fractional coordinates:
1 Ba 0.0000 0.0000 0.0000 [3 per cell]  8 Tl 3.55-3.85
2 Na 0.0000 0.0000 0.5000 [3 per cell]  8 Tl 3.19-3.25
3 Mg 0.0000 0.0000 0.2374 [6 per cell]  7 Tl 3.12-3.44
4 Tl 0.0000 0.0000 0.1254 [6 per cell]  4 Mg 3.12-3.44, 3 Na 3.25
5 Tl 0.0000 0.0000 0.3960 [6 per cell]  3 Mg 3.16, 1 Na 3.19

# 11
A relaxed structure of Rb3In2Bi4, computed with PBE.

Distance to the lowest polymorph of the same formula   0.0398 eV per atom
Formation energy   -199 kJ/mol of formula units
Uncorrected energy   -2.885 eV per atom

Cell: 14.8571 12.9415 8.8333 Å, 90.00 106.20 90.00°
Last column: nearest neighbours and their distance in Å.
Space group C2/c (No. 15)
Inequivalent atoms, fractional coordinates:
1 Rb 0.0000 0.0973 0.2500 [4 per cell]  6 Bi 3.90-3.98, 4 In 4.06-4.18
2 Rb 0.1355 0.3792 0.5754 [8 per cell]  5 Bi 3.77-4.11, 2 In 3.81-4.12
3 In 0.1964 0.1129 0.0100 [8 per cell]  4 Bi 3.04-3.05
4 Bi 0.1323 0.3229 0.0927 [8 per cell]  2 In 3.04, 1 Bi 3.15
5 Bi 0.1847 0.0961 0.6622 [8 per cell]  2 In 3.04-3.05, 1 Bi 3.15

# 12
A relaxed structure of KMn2Fe, computed with PBE.

Distance to the lowest polymorph of the same formula   0.0231 eV per atom
Formation energy   279 kJ/mol of formula units
Uncorrected energy   -6.253 eV per atom

Cell: 2.8081 3.4154 7.9271 Å, 90.00 90.01 90.00°
Last column: nearest neighbours and their distance in Å.
Space group Pm (No. 6)
Inequivalent atoms, fractional coordinates:
1 K 0.0000 0.0000 0.0000 [1 per cell]  2 K 2.81
2 Mn 0.0042 0.0000 0.5256 [1 per cell]  4 Fe 2.46, 4 Mn 2.55-2.56
3 Mn 0.5033 0.5000 0.3639 [1 per cell]  1 Fe 2.36, 4 Mn 2.55-2.56
4 Fe 0.5042 0.5000 0.6619 [1 per cell]  5 Mn 2.36-2.46